Computed, not measured: a relaxed Rb2CeMnF6 crystal at the GGA+U level of DFT.

Cell: 6.4972 9.2159 6.5278 Å, 90.00 90.00 90.00°
Closest atoms and distances in Å follow each position.
Fractional positions:
Rb: 0.2500 0.0018 0.2496  12 F 3.24-3.28
Rb: 0.2500 0.4982 0.2496  12 F 3.24-3.28
Rb: 0.7500 0.5018 0.7504  12 F 3.24-3.28
Rb: 0.7500 0.9982 0.7504  12 F 3.24-3.28
Ce: 0.2500 0.2500 0.7496  6 F 2.39
Ce: 0.7500 0.7500 0.2504  6 F 2.39
Mn: 0.2500 0.7500 0.7502  6 F 2.22
Mn: 0.7500 0.2500 0.2498  6 F 2.22
F: 0.0084 0.7500 0.5108  1 Mn 2.22, 1 Ce 2.39
F: 0.0085 0.7500 0.9900  1 Mn 2.22, 1 Ce 2.39
F: 0.2500 0.5096 0.7504  1 Mn 2.22, 1 Ce 2.39
F: 0.2500 0.9904 0.7504  1 Mn 2.22, 1 Ce 2.39
F: 0.4915 0.7500 0.9900  1 Mn 2.22, 1 Ce 2.39
F: 0.4916 0.7500 0.5108  1 Mn 2.22, 1 Ce 2.39
F: 0.5084 0.2500 0.4892  1 Mn 2.22, 1 Ce 2.39
F: 0.5085 0.2500 0.0100  1 Mn 2.22, 1 Ce 2.39
F: 0.7500 0.0096 0.2496  1 Mn 2.22, 1 Ce 2.39
F: 0.7500 0.4904 0.2496  1 Mn 2.22, 1 Ce 2.39
F: 0.9915 0.2500 0.0100  1 Mn 2.22, 1 Ce 2.39
F: 0.9916 0.2500 0.4892  1 Mn 2.22, 1 Ce 2.39

Summary:
The magnetic moment comes out at 7.39 μB per cell. As for the raw total energy: -5.5419 eV/atom. As for the density of states at the Fermi level: 0.51 states/eV/atom.